(1)
Density functional theory data (PBE) for crystalline KPBr at its relaxed geometry.

DOS at the Fermi energy, states/eV per cell: 2.2
Formation energy without anion corrections, eV per atom: 0.031
Energy above the lowest structure with this stoichiometry, eV per atom: 0.221

a = 5.149 Å, b = 5.149 Å, c = 3.635 Å
α = 90.00°, β = 90.00°, γ = 120.00°
Fractional coordinates of all 3 atoms:
K: 0.000 0.000 0.000
P: 0.667 0.333 0.500
Br: 0.333 0.667 0.500

(2)
Density functional theory data (PBE) for crystalline KPBr at its relaxed geometry.

DOS at the Fermi energy, states/eV per cell: 1.7
Formation energy without anion corrections, eV per atom: 0.169
Energy above the lowest structure with this stoichiometry, eV per atom: 0.359

a = 6.863 Å, b = 6.863 Å, c = 6.863 Å
α = 149.24°, β = 149.24°, γ = 44.06°
Fractional coordinates of all 3 atoms:
K: 0.000 0.000 0.000
P: 0.314 0.314 0.000
Br: 0.650 0.650 0.000